This record from the Alexandria database describes a geometry-optimized FeRh2I structure. The functional is PBEsol.

a b c (Å): 4.4344 4.4344 4.4344
angles (deg): 60.00 60.00 60.00
Closest atoms and distances in Å follow each position.
Fractional positions:
I  0.5000  0.5000  0.5000  8 Rh 2.72
Rh  0.2500  0.2500  0.2500  4 Fe 2.72, 4 I 2.72
Rh  0.7500  0.7500  0.7500  4 Fe 2.72, 4 I 2.72
Fe  0.0000  0.0000  0.0000  8 Rh 2.72

* crystal system: cubic
* total DFT energy (no corrections): -6.153 eV per atom
* calculated volume: 61.7 Å³/cell
* ΔE_f (raw): 0.599 eV per atom
* magnetic moment: 3.6 μB/f.u.

This record from the Alexandria database describes a geometry-optimized FeRuRh2I structure. The functional is PBEsol.

a b c (Å): 4.5460 4.6992 4.6992
angles (deg): 90.00 90.00 90.00
Closest atoms and distances in Å follow each position.
Fractional positions:
I  0.0000  0.0000  0.0000  2 Fe 2.27, 4 Rh 2.35
Ru  0.5000  0.5000  0.5000  8 Rh 3.27, 4 Fe 3.32
Rh  0.0000  0.0000  0.5000  2 I 2.35
Rh  0.0000  0.5000  0.0000  2 I 2.35
Fe  0.5000  0.0000  0.0000  2 I 2.27

* crystal system: tetragonal
* total DFT energy (no corrections): -5.570 eV per atom
* calculated volume: 100.4 Å³/cell
* ΔE_f (raw): 1.866 eV per atom
* magnetic moment: 6.1 μB/f.u.